A plane-wave DFT calculation with PBE with a Hubbard U was carried out for a relaxed Fe5O3F7 crystal.

Cell and atoms, written as CIF:
```
data_Fe5O3F7
_symmetry_space_group_name_H-M 'P 1'
_symmetry_Int_Tables_number 1
_cell_length_a 4.760
_cell_length_b 4.760
_cell_length_c 15.762
_cell_angle_alpha 90.10
_cell_angle_beta 90.10
_cell_angle_gamma 91.02
loop_
_symmetry_equiv_pos_as_xyz
'x,y,z'
loop_
_atom_site_label
_atom_site_type_symbol
_atom_site_fract_x
_atom_site_fract_y
_atom_site_fract_z
Fe1 Fe 0.986 0.961 0.193
Fe2 Fe 0.971 0.971 0.399
Fe3 Fe 0.029 0.029 0.601
Fe4 Fe 0.039 0.014 0.807
Fe5 Fe 0.023 0.977 0.000
Fe6 Fe 0.522 0.514 0.301
Fe7 Fe 0.486 0.478 0.699
Fe8 Fe 0.500 0.500 0.500
Fe9 Fe 0.472 0.512 0.895
Fe10 Fe 0.488 0.528 0.105
O1 O 0.199 0.814 0.896
O2 O 0.186 0.801 0.104
O3 O 0.326 0.322 0.598
O4 O 0.313 0.312 0.794
O5 O 0.688 0.687 0.206
O6 O 0.678 0.674 0.402
F1 F 0.192 0.788 0.296
F2 F 0.206 0.794 0.500
F3 F 0.212 0.808 0.704
F4 F 0.283 0.292 0.210
F5 F 0.291 0.289 0.400
F6 F 0.311 0.308 0.002
F7 F 0.711 0.709 0.600
F8 F 0.708 0.717 0.790
F9 F 0.692 0.689 0.998
F10 F 0.790 0.186 0.295
F11 F 0.814 0.210 0.705
F12 F 0.796 0.204 0.500
F13 F 0.788 0.201 0.105
F14 F 0.799 0.212 0.895
```

Output
Density of states at the Fermi level (states/eV per cell): 6.5
E_tot (eV per atom): -5.77